# Ga2CuPd9

A relaxed Ga2CuPd9 crystal (PBE, Alexandria via LeMat-Bulk).

```
data_Ga2CuPd9
_cell_length_a 3.932
_cell_length_b 3.932
_cell_length_c 11.657
_cell_angle_alpha 90.00
_cell_angle_beta 90.00
_cell_angle_gamma 90.00
_space_group_name_H-M_alt 'P 1'
_space_group_IT_number 1
_space_group_name_Hall 'P 1'
loop_
_atom_site_label
_atom_site_fract_x
_atom_site_fract_y
_atom_site_fract_z
Ga1 0.000 0.000 0.168
Ga2 0.000 0.000 0.832
Cu1 0.000 0.000 0.500
Pd1 0.000 0.500 0.000
Pd2 0.000 0.500 0.335
Pd3 0.000 0.500 0.665
Pd4 0.500 0.000 0.000
Pd5 0.500 0.000 0.335
Pd6 0.500 0.000 0.665
Pd7 0.500 0.500 0.168
Pd8 0.500 0.500 0.500
Pd9 0.500 0.500 0.832
```

As for the calculated total energy: -5.05 eV/atom. The size of the total moment comes out at 0.00 μB/f.u. As for the crystal system: tetragonal. For the mass density, the calculation gives 10.69 g/cm³. Its density of states at the Fermi level is 1.4338 states/eV/atom.